First-principles (GGA-PBE) data for Er2CdFe after structural relaxation, as listed in the Alexandria database.

Properties
* DFT formation energy: -0.020 eV/atom
* energy relative to the lowest polymorph listed for this composition: 115 meV per atom
* final energy: -4.65 eV per atom

Cell lengths 5.0149, 5.0149, 5.0149 Å; angles 60.00, 60.00, 60.00 degrees
Sites, in units of the cell vectors:
Cd 0.5000 0.5000 0.5000
Fe 0.0000 0.0000 0.0000
Er 0.2500 0.2500 0.2500
Er 0.7500 0.7500 0.7500